No. 1
! Ta2P2Pd | Alexandria | PBE | relaxed; values from VASP
&SYSTEM
  ibrav = 0, nat = 10, ntyp = 3
/
ATOMIC_SPECIES
P 30.97 P.upf
Pd 106.42 Pd.upf
Ta 180.95 Ta.upf
CELL_PARAMETERS angstrom
-6.742 1.151 -0.891
-0.367 -5.429 -4.239
-0.658 -1.913 2.507
ATOMIC_POSITIONS crystal
P 0.354 0.854 0.000
P 0.854 0.646 0.000
P 0.646 0.146 0.000
P 0.146 0.354 0.000
Pd 0.000 0.000 0.000
Pd 0.500 0.500 0.000
Ta 0.147 0.647 0.500
Ta 0.647 0.853 0.500
Ta 0.853 0.353 0.500
Ta 0.353 0.147 0.500
! **Energy of formation**: -55.4 kJ/mol of atoms
! **Symmetry**: P4/mbm (127)
! **Raw total energy**: -85.175 eV per cell
! **Total moment**: 0.0 μB/cell
! **Calculated density**: 11.5 Mg/m³



No. 2
! TaP2Pd | Alexandria | PBE | relaxed; values from VASP
&SYSTEM
  ibrav = 0, nat = 4, ntyp = 3
/
ATOMIC_SPECIES
P 30.97 P.upf
Pd 106.42 Pd.upf
Ta 180.95 Ta.upf
CELL_PARAMETERS angstrom
-1.068 -2.952 -1.677
1.575 -0.992 -3.033
4.162 -4.537 1.558
ATOMIC_POSITIONS crystal
P 0.250 0.250 0.250
P 0.750 0.750 0.750
Pd 0.000 0.000 0.000
Ta 0.500 0.500 0.500
! **Energy of formation**: -18.3 kJ/mol of atoms
! **Symmetry**: R-3m (166)
! **Raw total energy**: -28.622 eV per cell
! **Total moment**: 0.0 μB/cell
! **Calculated density**: 8.8 Mg/m³
! **Energy above the most stable polymorph in this dataset**: 0.0344 eV/atom



No. 3
! TaP2Pd2 | Alexandria | PBE | relaxed; values from VASP
&SYSTEM
  ibrav = 0, nat = 10, ntyp = 3
/
ATOMIC_SPECIES
P 30.97 P.upf
Pd 106.42 Pd.upf
Ta 180.95 Ta.upf
CELL_PARAMETERS angstrom
6.839 0.000 0.000
0.000 6.839 0.000
0.000 0.000 3.239
ATOMIC_POSITIONS crystal
P 0.341 0.841 0.000
P 0.841 0.659 0.000
P 0.659 0.159 0.000
P 0.159 0.341 0.000
Pd 0.145 0.645 0.500
Pd 0.645 0.855 0.500
Pd 0.855 0.355 0.500
Pd 0.355 0.145 0.500
Ta 0.000 0.000 0.000
Ta 0.500 0.500 0.000
! **Energy of formation**: -27.5 kJ/mol of atoms
! **Symmetry**: P4/mbm (127)
! **Raw total energy**: -68.968 eV per cell
! **Total moment**: 0.0 μB/cell
! **Calculated density**: 10.0 Mg/m³